A geometry-optimized Y2CrRh structure, computed with GGA-PBE.

a = 7.7310 Å, b = 7.7310 Å, c = 6.2700 Å
α = 90.00°, β = 90.00°, γ = 90.00°
Space group I-42d (No. 122)
Asymmetric unit:
Y: 0.2184 0.7500 0.1250 [8 per cell]
Cr: 0.0000 0.0000 0.5000 [4 per cell]
Rh: 0.0000 0.0000 0.0000 [4 per cell]

Volume = 94 Å³/f.u.
Relative energy among the computed polymorphs = 0.363 eV per atom
Energy = -117.25 eV for the cell shown
ΔE_f = 0.59 eV per formula unit
N(E_F) = 4.95 states/eV/f.u.

=====

A geometry-optimized Tb4Bi3P structure, computed with GGA-PBE.

a = 8.8267 Å, b = 12.3854 Å, c = 4.3414 Å
α = 90.00°, β = 90.00°, γ = 90.00°
Space group Cmmm (No. 65)
Asymmetric unit:
Tb: 0.0000 0.2380 0.0000 [4 per cell]
Tb: 0.2284 0.0000 0.5000 [4 per cell]
Bi: 0.0000 0.5000 0.0000 [2 per cell]
Bi: 0.2500 0.2500 0.5000 [4 per cell]
P: 0.0000 0.0000 0.0000 [2 per cell]

Volume = 237 Å³/f.u.
Energy = -87.21 eV for the cell shown
ΔE_f = -8.03 eV per formula unit
N(E_F) = 1.40 states/eV/f.u.

=====

A geometry-optimized Er6Hg3H structure, computed with GGA-PBE.

a = 6.3947 Å, b = 8.0146 Å, c = 11.6849 Å
α = 90.00°, β = 121.64°, γ = 90.00°
Space group P2_1/c (No. 14)
Asymmetric unit:
Er: 0.0587 0.0637 0.2288 [4 per cell]
Er: 0.1955 0.7208 0.0688 [4 per cell]
Er: 0.3954 0.1454 0.0518 [4 per cell]
Hg: 0.3058 0.1135 0.7228 [4 per cell]
Hg: 0.5000 0.0000 0.5000 [2 per cell]
H: 0.0000 0.0000 0.0000 [2 per cell]

Volume = 255 Å³/f.u.
Energy = -68.38 eV for the cell shown
N(E_F) = 11.74 states/eV/f.u.

=====

A geometry-optimized Tl2Cd5Hg3 structure, computed with GGA-PBE.

a = 12.7485 Å, b = 13.7161 Å, c = 6.2921 Å
α = 90.00°, β = 90.00°, γ = 90.00°
Space group Ibam (No. 72)
Asymmetric unit:
Tl: 0.1229 0.2453 0.0000 [8 per cell]
Cd: 0.0000 0.5000 0.2500 [4 per cell]
Cd: 0.1288 0.1463 0.5000 [8 per cell]
Cd: 0.2495 0.0000 0.2500 [8 per cell]
Hg: 0.0000 0.0000 0.2500 [4 per cell]
Hg: 0.1249 0.3529 0.5000 [8 per cell]

Volume = 275 Å³/f.u.
Relative energy among the computed polymorphs = 0.018 eV per atom
Energy = -39.71 eV for the cell shown
ΔE_f = 0.29 eV per formula unit
N(E_F) = 2.67 states/eV/f.u.

=====

A geometry-optimized TlSb2Pb structure, computed with GGA-PBE.

a = 4.1499 Å, b = 4.1499 Å, c = 7.2265 Å
α = 90.00°, β = 90.00°, γ = 90.00°
Space group P4mm (No. 99)
Asymmetric unit:
Tl: 0.0000 0.0000 0.0000 [1 per cell]
Sb: 0.0000 0.0000 0.5295 [1 per cell]
Sb: 0.5000 0.5000 0.6897 [1 per cell]
Pb: 0.5000 0.5000 0.2601 [1 per cell]

Volume = 124 Å³/f.u.
Energy relative to the elements, uncorrected = 0.3 eV per formula unit
Energy = -14.06 eV for the cell shown
N(E_F) = 2.16 states/eV/f.u.

=====

A geometry-optimized ZrSnPCl2 structure, computed with GGA-PBE.

a = 5.0754 Å, b = 5.0754 Å, c = 5.2765 Å
α = 90.00°, β = 90.00°, γ = 90.00°
Space group P4/mmm (No. 123)
Asymmetric unit:
Zr: 0.0000 0.0000 0.0000 [1 per cell]
Sn: 0.5000 0.5000 0.5000 [1 per cell]
P: 0.5000 0.5000 0.0000 [1 per cell]
Cl: 0.0000 0.5000 0.5000 [2 per cell]

Volume = 136 Å³/f.u.
Energy relative to the elements, uncorrected = 1.5 eV per formula unit
Relative energy among the computed polymorphs = 0.867 eV per atom
Energy = -20.12 eV for the cell shown
N(E_F) = 5.98 states/eV/f.u.

=====

A geometry-optimized CsZr3Pd structure, computed with GGA-PBE.

a = 5.2110 Å, b = 5.2110 Å, c = 5.2110 Å
α = 90.00°, β = 90.00°, γ = 90.00°
Space group Pm-3m (No. 221)
Asymmetric unit:
Cs: 0.0000 0.0000 0.0000 [1 per cell]
Zr: 0.0000 0.0000 0.5000 [3 per cell]
Pd: 0.5000 0.5000 0.5000 [1 per cell]

Volume = 142 Å³/f.u.
Relative energy among the computed polymorphs = 1.318 eV per atom
Energy = -21.42 eV for the cell shown
ΔE_f = 10.27 eV per formula unit
N(E_F) = 9.43 states/eV/f.u.

=====

A geometry-optimized KTcRh2 structure, computed with GGA-PBE.

a = 4.0887 Å, b = 4.0887 Å, c = 8.1530 Å
α = 90.00°, β = 90.00°, γ = 90.00°
Space group I-4m2 (No. 119)
Asymmetric unit:
K: 0.0000 0.0000 0.0000 [2 per cell]
Tc: 0.0000 0.5000 0.2500 [2 per cell]
Rh: 0.0000 0.0000 0.5000 [2 per cell]
Rh: 0.0000 0.5000 0.7500 [2 per cell]

Volume = 68 Å³/f.u.
Relative energy among the computed polymorphs = 0.855 eV per atom
Energy = -42.83 eV for the cell shown
ΔE_f = 4.75 eV per formula unit
N(E_F) = 5.23 states/eV/f.u.

=====

A geometry-optimized RuRh4Cl structure, computed with GGA-PBE.

a = 7.2875 Å, b = 7.2875 Å, c = 7.2875 Å
α = 90.00°, β = 90.00°, γ = 90.00°
Space group F-43m (No. 216)
Asymmetric unit:
Ru: 0.0000 0.0000 0.0000 [4 per cell]
Rh: 0.1251 0.1251 0.3749 [16 per cell]
Cl: 0.2500 0.2500 0.7500 [4 per cell]

Volume = 97 Å³/f.u.
Energy relative to the elements, uncorrected = 5.3 eV per formula unit
Energy = -141.00 eV for the cell shown
N(E_F) = 11.92 states/eV/f.u.

=====

A geometry-optimized ReTc2AgSe structure, computed with GGA-PBE.

a = 4.5489 Å, b = 4.5489 Å, c = 4.5636 Å
α = 90.00°, β = 90.00°, γ = 90.00°
Space group P4/mmm (No. 123)
Asymmetric unit:
Re: 0.0000 0.0000 0.0000 [1 per cell]
Tc: 0.0000 0.5000 0.5000 [2 per cell]
Ag: 0.5000 0.5000 0.0000 [1 per cell]
Se: 0.0000 0.0000 0.5000 [1 per cell]

Volume = 94 Å³/f.u.
Energy relative to the elements, uncorrected = 6.7 eV per formula unit
Energy = -32.78 eV for the cell shown
N(E_F) = 3.86 states/eV/f.u.

=====

A geometry-optimized BiMo2I structure, computed with GGA-PBE.

a = 6.4003 Å, b = 6.4003 Å, c = 11.7091 Å
α = 90.00°, β = 90.00°, γ = 90.00°
Space group I-42d (No. 122)
Asymmetric unit:
Bi: 0.0000 0.0000 0.0000 [4 per cell]
Mo: 0.2348 0.2500 0.6250 [8 per cell]
I: 0.0000 0.0000 0.5000 [4 per cell]

Volume = 120 Å³/f.u.
Energy relative to the elements, uncorrected = 6.0 eV per formula unit
Relative energy among the computed polymorphs = 0.548 eV per atom
Energy = -84.51 eV for the cell shown
N(E_F) = 4.22 states/eV/f.u.

=====

A geometry-optimized HgP2Pb structure, computed with GGA-PBE.

a = 7.0567 Å, b = 7.0567 Å, c = 7.0567 Å
α = 90.00°, β = 90.00°, γ = 90.00°
Space group F-43m (No. 216)
Asymmetric unit:
Hg: 0.0000 0.0000 0.0000 [4 per cell]
P: 0.0000 0.0000 0.5000 [4 per cell]
P: 0.2500 0.2500 0.7500 [4 per cell]
Pb: 0.2500 0.2500 0.2500 [4 per cell]

Volume = 88 Å³/f.u.
Relative energy among the computed polymorphs = 0.490 eV per atom
Energy = -49.50 eV for the cell shown
ΔE_f = 2.46 eV per formula unit
N(E_F) = 2.00 states/eV/f.u.